# FeSBrN2, relaxed, DFT PBE-GGA
data_FeSBrN2
_chemical_formula_sum 'Fe1 S1 Br1 N2'
_cell_length_a 3.604
_cell_length_b 3.604
_cell_length_c 5.352
_cell_angle_alpha 90.00
_cell_angle_beta 90.00
_cell_angle_gamma 90.00
_space_group_name_H-M_alt 'P 4/m m m'
_space_group_IT_number 123
_space_group_name_Hall '-P 4 2'
loop_
_atom_site_label
_atom_site_type_symbol
_atom_site_fract_x
_atom_site_fract_y
_atom_site_fract_z
Fe1 Fe 0.000 0.000 0.000
S1 S 0.000 0.000 0.500
Br1 Br 0.500 0.500 0.500
N1 N 0.000 0.500 0.000
# N(E_F)   0.49 states/eV/atom
# Total DFT energy (no corrections)   -25.93 eV per cell
# Raw formation energy   0.997 eV per atom

# GaAg2SbTe4, relaxed, DFT PBE-GGA
data_GaAg2SbTe4
_chemical_formula_sum 'Ga4 Ag8 Sb4 Te16'
_cell_length_a 8.702
_cell_length_b 10.074
_cell_length_c 12.305
_cell_angle_alpha 90.00
_cell_angle_beta 90.00
_cell_angle_gamma 90.00
_space_group_name_H-M_alt 'F m m 2'
_space_group_IT_number 42
_space_group_name_Hall 'F 2 -2'
loop_
_atom_site_label
_atom_site_type_symbol
_atom_site_fract_x
_atom_site_fract_y
_atom_site_fract_z
Ga1 Ga 0.000 0.000 0.000
Ag1 Ag 0.250 0.250 0.245
Sb1 Sb 0.000 0.000 0.481
Te1 Te 0.000 0.222 0.888
Te2 Te 0.246 0.000 0.137
# N(E_F)   0.20 states/eV/atom
# Total DFT energy (no corrections)   -105.37 eV per cell
# Raw formation energy   -0.115 eV per atom

# Sr4Ce3GeN8, relaxed, DFT PBE-GGA
data_Sr4Ce3GeN8
_chemical_formula_sum 'Sr8 Ce6 Ge2 N16'
_cell_length_a 12.759
_cell_length_b 6.980
_cell_length_c 7.173
_cell_angle_alpha 90.00
_cell_angle_beta 123.22
_cell_angle_gamma 90.00
_space_group_name_H-M_alt 'C 1 2/m 1'
_space_group_IT_number 12
loop_
_space_group_symop_operation_xyz
'x,y,z'
'-x,-y,-z'
'-x,y,-z'
'x,-y,z'
'x+1/2,y+1/2,z'
'-x+1/2,-y+1/2,-z'
'-x+1/2,y+1/2,-z'
'x+1/2,-y+1/2,z'
loop_
_atom_site_label
_atom_site_type_symbol
_atom_site_fract_x
_atom_site_fract_y
_atom_site_fract_z
Sr1 Sr 0.000 0.000 0.000
Sr2 Sr 0.000 0.500 0.000
Sr3 Sr 0.250 0.250 0.000
Ce1 Ce 0.000 0.000 0.500
Ce2 Ce 0.250 0.250 0.500
Ge1 Ge 0.000 0.500 0.500
N1 N 0.010 0.274 0.303
N2 N 0.231 0.000 0.704
N3 N 0.232 0.000 0.265
# N(E_F)   0.05 states/eV/atom
# Total DFT energy (no corrections)   -218.03 eV per cell
# Raw formation energy   -0.829 eV per atom

# YbGePd, relaxed, DFT PBE-GGA
data_YbGePd
_chemical_formula_sum 'Yb12 Ge12 Pd12'
_cell_length_a 4.428
_cell_length_b 21.257
_cell_length_c 7.566
_cell_angle_alpha 90.00
_cell_angle_beta 90.00
_cell_angle_gamma 90.00
_space_group_name_H-M_alt 'I m m 2'
_space_group_IT_number 44
loop_
_space_group_symop_operation_xyz
'x,y,z'
'-x,-y,z'
'-x,y,z'
'x,-y,z'
'x+1/2,y+1/2,z+1/2'
'-x+1/2,-y+1/2,z+1/2'
'-x+1/2,y+1/2,z+1/2'
'x+1/2,-y+1/2,z+1/2'
loop_
_atom_site_label
_atom_site_type_symbol
_atom_site_fract_x
_atom_site_fract_y
_atom_site_fract_z
Yb1 Yb 0.000 0.000 0.000
Yb2 Yb 0.000 0.165 0.096
Yb3 Yb 0.000 0.332 0.998
Yb4 Yb 0.000 0.500 0.093
Ge1 Ge 0.000 0.100 0.710
Ge2 Ge 0.000 0.268 0.385
Ge3 Ge 0.000 0.437 0.709
Pd1 Pd 0.000 0.070 0.383
Pd2 Pd 0.000 0.231 0.712
Pd3 Pd 0.000 0.396 0.381
# N(E_F)   4.64 states/eV/atom
# Total DFT energy (no corrections)   -167.08 eV per cell
# E_form   -862 meV per atom

# Tb6PbAu2Se3, relaxed, DFT PBE-GGA
data_Tb6PbAu2Se3
_chemical_formula_sum 'Tb12 Pb2 Au4 Se6'
_cell_length_a 18.797
_cell_length_b 4.058
_cell_length_c 8.711
_cell_angle_alpha 90.00
_cell_angle_beta 108.33
_cell_angle_gamma 90.00
_space_group_name_H-M_alt 'C 1 2/m 1'
_space_group_IT_number 12
loop_
_space_group_symop_operation_xyz
'x,y,z'
'-x,-y,-z'
'-x,y,-z'
'x,-y,z'
'x+1/2,y+1/2,z'
'-x+1/2,-y+1/2,-z'
'-x+1/2,y+1/2,-z'
'x+1/2,-y+1/2,z'
loop_
_atom_site_label
_atom_site_type_symbol
_atom_site_fract_x
_atom_site_fract_y
_atom_site_fract_z
Tb1 Tb 0.001 0.000 0.267
Tb2 Tb 0.166 0.500 0.586
Tb3 Tb 0.174 0.500 0.089
Pb1 Pb 0.000 0.500 0.000
Au1 Au 0.170 0.000 0.339
Se1 Se 0.000 0.500 0.500
Se2 Se 0.163 0.000 0.835
# N(E_F)   0.55 states/eV/atom
# Total DFT energy (no corrections)   -126.19 eV per cell
# Raw formation energy   -1.216 eV per atom

# Ac2PuTe2N2, relaxed, DFT PBE-GGA
data_Ac2PuTe2N2
_chemical_formula_sum 'Ac4 Pu2 Te4 N4'
_cell_length_a 4.510
_cell_length_b 4.510
_cell_length_c 17.351
_cell_angle_alpha 90.00
_cell_angle_beta 90.00
_cell_angle_gamma 90.00
_space_group_name_H-M_alt 'I 4/m m m'
_space_group_IT_number 139
_space_group_name_Hall '-I 4 2'
loop_
_atom_site_label
_atom_site_type_symbol
_atom_site_fract_x
_atom_site_fract_y
_atom_site_fract_z
Ac1 Ac 0.000 0.000 0.109
Pu1 Pu 0.000 0.000 0.500
Te1 Te 0.000 0.000 0.319
N1 N 0.000 0.500 0.000
# N(E_F)   1.01 states/eV/atom
# Total DFT energy (no corrections)   -110.50 eV per cell
# Raw formation energy   -1.396 eV per atom

# Te2HCl, relaxed, DFT PBE-GGA
data_Te2HCl
_chemical_formula_sum 'Te8 H4 Cl4'
_cell_length_a 6.047
_cell_length_b 6.047
_cell_length_c 10.529
_cell_angle_alpha 90.00
_cell_angle_beta 90.00
_cell_angle_gamma 90.00
_space_group_name_H-M_alt 'I -4 2 d'
_space_group_IT_number 122
_space_group_name_Hall 'I -4 2bw'
loop_
_atom_site_label
_atom_site_type_symbol
_atom_site_fract_x
_atom_site_fract_y
_atom_site_fract_z
Te1 Te 0.105 0.250 0.125
H1 H 0.000 0.000 0.000
Cl1 Cl 0.000 0.000 0.500
# N(E_F)   0.24 states/eV/atom
# Total DFT energy (no corrections)   -39.72 eV per cell

# SrTcN3, relaxed, DFT PBE-GGA
data_SrTcN3
_chemical_formula_sum 'Sr2 Tc2 N6'
_cell_length_a 3.946
_cell_length_b 6.519
_cell_length_c 7.040
_cell_angle_alpha 65.48
_cell_angle_beta 87.00
_cell_angle_gamma 79.35
_space_group_name_H-M_alt 'P 1'
_space_group_IT_number 1
loop_
_space_group_symop_operation_xyz
'x,y,z'
loop_
_atom_site_label
_atom_site_type_symbol
_atom_site_fract_x
_atom_site_fract_y
_atom_site_fract_z
Sr1 Sr 0.000 0.000 0.000
Sr2 Sr 0.471 0.593 0.583
Tc1 Tc 0.247 0.191 0.330
Tc2 Tc 0.636 0.479 0.103
N1 N 0.170 0.427 0.012
N2 N 0.359 0.134 0.598
N3 N 0.500 0.140 0.744
N4 N 0.603 0.703 0.184
N5 N 0.772 0.148 0.290
N6 N 0.944 0.485 0.850
# N(E_F)   0.00 states/eV/atom
# Total DFT energy (no corrections)   -76.45 eV per cell
# Raw formation energy   -0.240 eV per atom

# PmNiC, relaxed, DFT PBE-GGA
data_PmNiC
_chemical_formula_sum 'Pm2 Ni2 C2'
_cell_length_a 3.675
_cell_length_b 3.675
_cell_length_c 7.236
_cell_angle_alpha 90.00
_cell_angle_beta 90.00
_cell_angle_gamma 90.00
_space_group_name_H-M_alt 'P 42/m m c'
_space_group_IT_number 131
_space_group_name_Hall '-P 4c 2'
loop_
_atom_site_label
_atom_site_type_symbol
_atom_site_fract_x
_atom_site_fract_y
_atom_site_fract_z
Pm1 Pm 0.000 0.000 0.250
Ni1 Ni 0.500 0.500 0.000
C1 C 0.000 0.500 0.000
# N(E_F)   0.44 states/eV/atom
# Total DFT energy (no corrections)   -41.37 eV per cell
# E_form   -310 meV per atom

# ScRhBr, relaxed, DFT PBE-GGA
data_ScRhBr
_chemical_formula_sum 'Sc4 Rh4 Br4'
_cell_length_a 6.334
_cell_length_b 6.334
_cell_length_c 6.334
_cell_angle_alpha 90.00
_cell_angle_beta 90.00
_cell_angle_gamma 90.00
_space_group_name_H-M_alt 'F -4 3 m'
_space_group_IT_number 216
_space_group_name_Hall 'F -4 2 3'
loop_
_atom_site_label
_atom_site_type_symbol
_atom_site_fract_x
_atom_site_fract_y
_atom_site_fract_z
Sc1 Sc 0.000 0.000 0.000
Rh1 Rh 0.250 0.250 0.750
Br1 Br 0.000 0.000 0.500
# N(E_F)   0.86 states/eV/atom
# Total DFT energy (no corrections)   -65.66 eV per cell
# Raw formation energy   -0.353 eV per atom